A relaxed RbHfVO5 crystal. Source: the Alexandria database, functional PBE+U.

Cell: 6.1221 6.1221 7.7627 Å, 104.95 104.95 105.68°
Closest atoms and distances in Å follow each position.
Fractional positions:
1 Rb 0.6707 0.3293 0.7500  7 O 2.70-2.89
2 O 0.2804 0.8723 0.6118  1 V 1.76
3 O 0.9471 0.0529 0.7500  2 Hf 2.01
4 O 0.2214 0.3839 0.6089  1 V 1.75
5 O 0.0529 0.9471 0.2500  2 Hf 2.01
6 Hf 0.0000 0.0000 0.0000  6 O 2.01-2.18
7 Rb 0.3293 0.6707 0.2500  7 O 2.70-2.89
8 V 0.3115 0.6885 0.7500  4 O 1.75-1.76
9 Hf 0.0000 0.0000 0.5000  6 O 2.01-2.18
10 O 0.7196 0.1277 0.3882  1 V 1.76
11 V 0.6885 0.3115 0.2500  4 O 1.75-1.76
12 O 0.8723 0.2804 0.1118  1 V 1.76
13 O 0.6161 0.7786 0.8911  1 V 1.75
14 O 0.7786 0.6161 0.3911  1 V 1.75
15 O 0.3839 0.2214 0.1089  1 V 1.75
16 O 0.1277 0.7196 0.8882  1 V 1.76

* Fermi-level density of states: 0.000 states/eV per atom
* V: 15.8 Å³ per atom
* VASP energy: -7.92 eV per atom
* symmetry: C2/c
* mass density: 5.2 g cm⁻³